## KYRe2 (PBE)

Data for a relaxed structure of KYRe2.

Computed properties:
The calculated formation energy comes out at 1863 meV/atom.

Cell lengths 4.9902, 4.9902, 4.9902 Å; angles 60.00, 60.00, 60.00 degrees
Closest atoms and distances in Å follow each position.
Fractional positions:
Y 0.5000 0.5000 0.5000  8 Re 3.06
Re 0.2500 0.2500 0.2500  4 K 3.06, 4 Y 3.06
Re 0.7500 0.7500 0.7500  4 K 3.06, 4 Y 3.06
K 0.0000 0.0000 0.0000  8 Re 3.06